GaCuI4 | PBE | optimized geometry

Values from the calculation:
- Space-group type: P1 (1)
- V: 38.424 Å³ per atom
- Calculated total energy: -15.3 eV per cell

a b c (Å): 6.2773 6.3538 7.2989
angles (deg): 115.80 115.29 90.16
Last column: nearest neighbours and their distance in Å.
Sites, in units of the cell vectors:
I 0.3804 0.3592 0.2425  1 Ga 2.61, 1 Cu 2.62
I 0.1188 0.6208 0.7578  1 Ga 2.61, 1 Cu 2.63
I 0.6356 0.1293 0.7532  1 Ga 2.61, 1 Cu 2.62
I 0.8659 0.8876 0.2454  1 Ga 2.61, 1 Cu 2.63
Cu 0.0000 0.0010 0.9983  4 I 2.62-2.63
Ga 0.7494 0.2520 0.5028  4 I 2.61

***

AuSO4 | PBE | optimized geometry

Values from the calculation:
- Space-group type: Pbca (61)
- V: 14.243 Å³ per atom
- Calculated total energy: -257.1 eV per cell

a b c (Å): 8.5015 8.1473 9.8703
angles (deg): 90.00 90.00 90.00
Last column: nearest neighbours and their distance in Å.
Sites, in units of the cell vectors:
O 0.8814 0.3718 0.5198  1 S 1.50
O 0.1754 0.8754 0.3440  1 S 1.53
O 0.4109 0.1304 0.2309  1 S 1.43
O 0.0891 0.6304 0.2309  1 S 1.43
O 0.1186 0.6282 0.4802  1 S 1.50
O 0.9018 0.7310 0.8743  1 S 1.52
O 0.6754 0.8754 0.1560  1 S 1.53
O 0.3246 0.1246 0.8440  1 S 1.53
O 0.4018 0.7690 0.1257  1 S 1.52
O 0.8246 0.3754 0.1560  1 S 1.53
O 0.8246 0.1246 0.6560  1 S 1.53
O 0.9109 0.3696 0.7691  1 S 1.43
O 0.5891 0.6304 0.2691  1 S 1.43
O 0.5982 0.2690 0.3743  1 S 1.52
O 0.0891 0.8696 0.7309  1 S 1.43
O 0.5982 0.2310 0.8743  1 S 1.52
O 0.6186 0.6282 0.0198  1 S 1.50
O 0.3246 0.3754 0.3440  1 S 1.53
O 0.1754 0.6246 0.8440  1 S 1.53
O 0.5891 0.8696 0.7691  1 S 1.43
O 0.6186 0.8718 0.5198  1 S 1.50
O 0.3814 0.3718 0.9802  1 S 1.50
O 0.4018 0.7310 0.6257  1 S 1.52
O 0.0982 0.2690 0.1257  1 S 1.52
O 0.4109 0.3696 0.7309  1 S 1.43
O 0.3814 0.1282 0.4802  1 S 1.50
O 0.0982 0.2310 0.6257  1 S 1.52
O 0.6754 0.6246 0.6560  1 S 1.53
O 0.9109 0.1304 0.2691  1 S 1.43
O 0.8814 0.1282 0.0198  1 S 1.50
O 0.1186 0.8718 0.9802  1 S 1.50
O 0.9018 0.7690 0.3743  1 S 1.52
S 0.9267 0.2794 0.6454  4 O 1.43-1.53
S 0.4267 0.2794 0.8546  4 O 1.43-1.53
S 0.5734 0.7206 0.1454  4 O 1.43-1.53
S 0.9267 0.2206 0.1454  4 O 1.43-1.53
S 0.0733 0.7794 0.8546  4 O 1.43-1.53
S 0.0733 0.7206 0.3546  4 O 1.43-1.53
S 0.4267 0.2206 0.3546  4 O 1.43-1.53
S 0.5734 0.7794 0.6454  4 O 1.43-1.53
Au 0.1407 0.4502 0.9881  3 O 2.03-2.15
Au 0.1407 0.0498 0.4881  3 O 2.03-2.15
Au 0.8593 0.9502 0.5119  3 O 2.03-2.15
Au 0.6407 0.4502 0.5119  3 O 2.03-2.15
Au 0.3593 0.5498 0.4881  3 O 2.03-2.15
Au 0.8593 0.5498 0.0119  3 O 2.03-2.15
Au 0.3593 0.9502 0.9881  3 O 2.03-2.15
Au 0.6407 0.0498 0.0119  3 O 2.03-2.15

***

TbBiSe2O | PBE | optimized geometry

Values from the calculation:
- Size of the total moment: 0.005 μB/f.u.
- Space-group type: P4/nmm (129)
- V: 24.012 Å³ per atom
- Calculated total energy: -58.1 eV per cell

a b c (Å): 4.0224 4.0224 14.8410
angles (deg): 90.00 90.00 90.00
Last column: nearest neighbours and their distance in Å.
Sites, in units of the cell vectors:
O 0.0000 0.0000 0.5000  4 Tb 2.29
O 0.5000 0.5000 0.5000  4 Tb 2.29
Se 0.5000 0.0000 0.6794  1 Bi 2.67
Se 0.0000 0.5000 0.3206  1 Bi 2.67
Se 0.5000 0.0000 0.0965  4 Bi 2.92
Se 0.0000 0.5000 0.9035  4 Bi 2.92
Bi 0.5000 0.0000 0.8593  5 Se 2.67-2.92
Bi 0.0000 0.5000 0.1407  5 Se 2.67-2.92
Tb 0.0000 0.5000 0.5738  4 O 2.29
Tb 0.5000 0.0000 0.4262  4 O 2.29

***

GdAl6Cu | PBE | optimized geometry

Values from the calculation:
- Size of the total moment: 0.001 μB/f.u.
- Space-group type: P-6m2 (187)
- V: 18.020 Å³ per atom
- Calculated total energy: -31.5 eV per cell

a b c (Å): 6.0464 6.0464 4.5531
angles (deg): 90.00 90.00 120.00
Last column: nearest neighbours and their distance in Å.
Sites, in units of the cell vectors:
Cu 0.0000 0.0000 0.0000  12 Al 2.84-3.03
Gd 0.3333 0.6667 0.5000  12 Al 2.97-3.02
Al 0.8384 0.6769 0.5000  2 Cu 2.84, 8 Al 2.84-3.12, 2 Gd 3.02
Al 0.5156 0.0312 0.0000  6 Al 2.74-2.84, 2 Gd 2.97, 2 Cu 3.03
Al 0.5156 0.4844 0.0000  6 Al 2.74-2.84, 2 Gd 2.97, 2 Cu 3.03
Al 0.8384 0.1616 0.5000  2 Cu 2.84, 8 Al 2.84-3.12, 2 Gd 3.02
Al 0.3231 0.1616 0.5000  2 Cu 2.84, 8 Al 2.84-3.12, 2 Gd 3.02
Al 0.9688 0.4844 0.0000  6 Al 2.74-2.84, 2 Gd 2.97, 2 Cu 3.03

***

HfNbP | PBE | optimized geometry

Values from the calculation:
- Size of the total moment: 0.301 μB/f.u.
- Space-group type: P-62m (189)
- V: 17.743 Å³ per atom
- Energy relative to the lowest polymorph listed for this composition: 804.8 meV/atom
- Calculated total energy: -78.4 eV per cell

a b c (Å): 7.2119 7.2119 3.5451
angles (deg): 90.00 90.00 120.00
Last column: nearest neighbours and their distance in Å.
Sites, in units of the cell vectors:
P 0.2713 0.0000 0.0000  4 Nb 2.64-2.66, 2 Hf 2.85
P 0.7287 0.7287 0.0000  4 Nb 2.64-2.66, 2 Hf 2.85
P 0.0000 0.2713 0.0000  4 Nb 2.64-2.66, 2 Hf 2.85
Nb 0.3333 0.6667 0.0000  3 P 2.66, 6 Hf 2.79
Nb 0.6667 0.3333 0.0000  3 P 2.66, 6 Hf 2.79
Nb 0.0000 0.0000 0.5000  6 P 2.64
Hf 0.0000 0.5799 0.5000  5 Nb 2.79-3.03, 2 P 2.85
Hf 0.5799 0.0000 0.5000  5 Nb 2.79-3.03, 2 P 2.85
Hf 0.4201 0.4201 0.5000  5 Nb 2.79-3.03, 2 P 2.85

***

RbCuMoPd | PBE | optimized geometry

Values from the calculation:
- Size of the total moment: 3.855 μB/f.u.
- Space-group type: F-43m (216)
- V: 20.643 Å³ per atom
- Energy relative to the lowest polymorph listed for this composition: 103.8 meV/atom
- Calculated total energy: -15.5 eV per cell

a b c (Å): 4.8878 4.8878 4.8878
angles (deg): 60.00 60.00 60.00
Last column: nearest neighbours and their distance in Å.
Sites, in units of the cell vectors:
Rb 0.5000 0.5000 0.5000  4 Cu 2.99, 4 Mo 2.99
Pd 0.0000 0.0000 0.0000  4 Mo 2.99, 4 Cu 2.99
Mo 0.2500 0.2500 0.2500  4 Pd 2.99, 4 Rb 2.99
Cu 0.7500 0.7500 0.7500  4 Rb 2.99, 4 Pd 2.99

***

LuMoIr | PBE | optimized geometry

Values from the calculation:
- Size of the total moment: 2.807 μB/f.u.
- Space-group type: F-43m (216)
- V: 21.345 Å³ per atom
- Energy relative to the lowest polymorph listed for this composition: 933.4 meV/atom
- Calculated total energy: -21.5 eV per cell
- Energy of formation from the pure elements: 21.3 kcal/mol of atoms

a b c (Å): 4.4906 4.4906 4.4906
angles (deg): 60.00 60.00 60.00
Last column: nearest neighbours and their distance in Å.
Sites, in units of the cell vectors:
Lu 0.0000 0.0000 0.0000  4 Ir 2.75, 4 Mo 2.75
Mo 0.7500 0.7500 0.7500  4 Lu 2.75
Ir 0.2500 0.2500 0.2500  4 Lu 2.75

***

LiTlCuRe | PBE | optimized geometry

Values from the calculation:
- Size of the total moment: 1.954 μB/f.u.
- Space-group type: F-43m (216)
- V: 15.193 Å³ per atom
- Energy relative to the lowest polymorph listed for this composition: 0.0 meV/atom
- Calculated total energy: -17.5 eV per cell

a b c (Å): 4.4130 4.4130 4.4130
angles (deg): 60.00 60.00 60.00
Last column: nearest neighbours and their distance in Å.
Sites, in units of the cell vectors:
Re 0.5000 0.5000 0.5000  4 Li 2.70, 4 Cu 2.70
Li 0.2500 0.2500 0.2500  4 Re 2.70, 4 Tl 2.70
Cu 0.7500 0.7500 0.7500  4 Tl 2.70, 4 Re 2.70
Tl 0.0000 0.0000 0.0000  4 Cu 2.70, 4 Li 2.70

***

Copy entry 3 word for word.
TbBiSe2O | PBE | optimized geometry

Values from the calculation:
- Size of the total moment: 0.005 μB/f.u.
- Space-group type: P4/nmm (129)
- V: 24.012 Å³ per atom
- Calculated total energy: -58.1 eV per cell

a b c (Å): 4.0224 4.0224 14.8410
angles (deg): 90.00 90.00 90.00
Last column: nearest neighbours and their distance in Å.
Sites, in units of the cell vectors:
O 0.0000 0.0000 0.5000  4 Tb 2.29
O 0.5000 0.5000 0.5000  4 Tb 2.29
Se 0.5000 0.0000 0.6794  1 Bi 2.67
Se 0.0000 0.5000 0.3206  1 Bi 2.67
Se 0.5000 0.0000 0.0965  4 Bi 2.92
Se 0.0000 0.5000 0.9035  4 Bi 2.92
Bi 0.5000 0.0000 0.8593  5 Se 2.67-2.92
Bi 0.0000 0.5000 0.1407  5 Se 2.67-2.92
Tb 0.0000 0.5000 0.5738  4 O 2.29
Tb 0.5000 0.0000 0.4262  4 O 2.29